# 1
Entry from Alexandria: an optimized crystal structure of Zn4CoSe (PBE-GGA).

Formation energy without anion corrections in kJ per mole of atoms: 30
Density of states at the Fermi level in states/eV/cell: 3.42
Space group: F-43m, No. 216
Calculated volume in A^3/atom: 15.4

Lattice parameters (Å, degrees): 5.076 5.076 5.076 60.00 60.00 60.00
Sites, in units of the cell vectors:
1 Zn 0.873 0.376 0.376
2 Zn 0.376 0.376 0.873
3 Zn 0.376 0.873 0.376
4 Zn 0.376 0.376 0.376
5 Co 0.750 0.750 0.750
6 Se 0.000 0.000 0.000



# 2
Entry from Alexandria: an optimized crystal structure of Zn2Co2Se (PBE-GGA).

Formation energy without anion corrections in kJ per mole of atoms: 7
Density of states at the Fermi level in states/eV/cell: 10.00
Space group: P4/mbm, No. 127
Calculated volume in A^3/atom: 14.0

Lattice parameters (Å, degrees): 6.072 6.072 3.805 90.00 90.00 90.00
Sites, in units of the cell vectors:
1 Zn 0.148 0.648 0.500
2 Zn 0.648 0.852 0.500
3 Zn 0.852 0.352 0.500
4 Zn 0.352 0.148 0.500
5 Co 0.349 0.849 0.000
6 Co 0.849 0.651 0.000
7 Co 0.651 0.151 0.000
8 Co 0.151 0.349 0.000
9 Se 0.000 0.000 0.000
10 Se 0.500 0.500 0.000



# 3
Entry from Alexandria: an optimized crystal structure of ZnCo2Se (PBE-GGA).

Energy relative to the lowest polymorph listed for this composition in meV/atom: 276
Formation energy without anion corrections in kJ per mole of atoms: 38
Density of states at the Fermi level in states/eV/cell: 4.83
Space group: F-43m, No. 216
Calculated volume in A^3/atom: 13.9

Lattice parameters (Å, degrees): 4.289 4.289 4.289 60.00 60.00 60.00
Sites, in units of the cell vectors:
1 Co 0.000 0.000 0.000
2 Co 0.250 0.250 0.250
3 Se 0.500 0.500 0.500
4 Zn 0.750 0.750 0.750



# 4
Entry from Alexandria: an optimized crystal structure of Zn2CoSe (PBE-GGA).

Formation energy without anion corrections in kJ per mole of atoms: 27
Density of states at the Fermi level in states/eV/cell: 6.15
Space group: I-42d, No. 122
Calculated volume in A^3/atom: 16.3

Lattice parameters (Å, degrees): 7.279 7.279 5.703 50.35 50.35 90.00
Sites, in units of the cell vectors:
1 Zn 0.611 0.125 0.250
2 Zn 0.139 0.625 0.250
3 Zn 0.375 0.389 0.750
4 Zn 0.875 0.861 0.750
5 Co 0.500 0.500 0.000
6 Co 0.250 0.750 0.500
7 Se 0.000 0.000 0.000
8 Se 0.750 0.250 0.500



# 5
Entry from Alexandria: an optimized crystal structure of Zn2CoSe (PBE-GGA).

Formation energy without anion corrections in kJ per mole of atoms: 18
Density of states at the Fermi level in states/eV/cell: 2.45
Space group: I-4m2, No. 119
Calculated volume in A^3/atom: 14.8

Lattice parameters (Å, degrees): 4.827 4.827 4.827 133.02 133.02 68.62
Sites, in units of the cell vectors:
1 Co 0.500 0.500 0.000
2 Se 0.750 0.250 0.500
3 Zn 0.000 0.000 0.000
4 Zn 0.250 0.750 0.500



# 6
Entry from Alexandria: an optimized crystal structure of ZnCoSe (PBE-GGA).

Energy relative to the lowest polymorph listed for this composition in meV/atom: 337
Formation energy without anion corrections in kJ per mole of atoms: 30
Density of states at the Fermi level in states/eV/cell: 3.91
Space group: F-43m, No. 216
Calculated volume in A^3/atom: 16.7

Lattice parameters (Å, degrees): 4.135 4.135 4.135 60.00 60.00 60.00
Sites, in units of the cell vectors:
1 Co 0.500 0.500 0.500
2 Se 0.750 0.750 0.750
3 Zn 0.000 0.000 0.000



# 7
Entry from Alexandria: an optimized crystal structure of ZnCoSe (PBE-GGA).

Energy relative to the lowest polymorph listed for this composition in meV/atom: 104
Formation energy without anion corrections in kJ per mole of atoms: 8
Density of states at the Fermi level in states/eV/cell: 2.49
Space group: I4mm, No. 107
Calculated volume in A^3/atom: 16.1

Lattice parameters (Å, degrees): 6.057 6.057 6.057 152.18 152.19 39.74
Sites, in units of the cell vectors:
1 Co 0.009 0.009 0.000
2 Se 0.623 0.623 0.000
3 Zn 0.367 0.367 0.000



# 8
Entry from Alexandria: an optimized crystal structure of ZnCoSe2 (PBE-GGA).

Formation energy without anion corrections in kJ per mole of atoms: -2
Density of states at the Fermi level in states/eV/cell: 1.65
Space group: R3m, No. 160
Calculated volume in A^3/atom: 19.9

Lattice parameters (Å, degrees): 9.404 9.404 9.404 19.33 19.33 19.33
Sites, in units of the cell vectors:
1 Co 0.751 0.751 0.751
2 Se 0.036 0.036 0.036
3 Se 0.224 0.224 0.224
4 Zn 0.488 0.488 0.488



# 9
Entry from Alexandria: an optimized crystal structure of ZnCo2Se (PBE-GGA).

Energy relative to the lowest polymorph listed for this composition in meV/atom: 35
Formation energy without anion corrections in kJ per mole of atoms: 14
Density of states at the Fermi level in states/eV/cell: 3.94
Space group: Imm2, No. 44
Calculated volume in A^3/atom: 13.8

Lattice parameters (Å, degrees): 5.566 5.566 5.566 149.65 140.58 50.54
Sites, in units of the cell vectors:
1 Co 0.040 0.040 0.000
2 Co 0.282 0.782 0.500
3 Se 0.462 0.462 0.000
4 Zn 0.716 0.216 0.500



# 10
Entry from Alexandria: an optimized crystal structure of ZnCoSe3 (PBE-GGA).

Formation energy without anion corrections in kJ per mole of atoms: 36
Density of states at the Fermi level in states/eV/cell: 6.76
Space group: Pm-3m, No. 221
Calculated volume in A^3/atom: 20.9

Lattice parameters (Å, degrees): 4.713 4.713 4.713 90.00 90.00 90.00
Sites, in units of the cell vectors:
1 Zn 0.500 0.500 0.500
2 Co 0.000 0.000 0.000
3 Se 0.000 0.500 0.000
4 Se 0.000 0.000 0.500
5 Se 0.500 0.000 0.000



# 11
Entry from Alexandria: an optimized crystal structure of ZnCo2Se (PBE-GGA).

Energy relative to the lowest polymorph listed for this composition in meV/atom: 0
Formation energy without anion corrections in kJ per mole of atoms: 11
Density of states at the Fermi level in states/eV/cell: 4.54
Space group: P4mm, No. 99
Calculated volume in A^3/atom: 15.1

Lattice parameters (Å, degrees): 3.042 3.039 6.551 90.00 90.00 90.00
Sites, in units of the cell vectors:
1 Co 0.000 0.000 0.027
2 Co 0.500 0.500 0.242
3 Se 0.000 0.000 0.397
4 Zn 0.500 0.500 0.834



# 12
Entry from Alexandria: an optimized crystal structure of Zn2CoSe (PBE-GGA).

Formation energy without anion corrections in kJ per mole of atoms: 27
Density of states at the Fermi level in states/eV/cell: 3.09
Space group: F-43m, No. 216
Calculated volume in A^3/atom: 14.9

Lattice parameters (Å, degrees): 4.387 4.387 4.387 60.00 60.00 60.00
Sites, in units of the cell vectors:
1 Co 0.500 0.500 0.500
2 Se 0.750 0.750 0.750
3 Zn 0.000 0.000 0.000
4 Zn 0.250 0.250 0.250



> The highest formation energy without anion corrections belongs to which entry?

number 3